Below is a relaxed ScTl2Rh crystal, with properties calculated at the PBEsol level.

Cell: 3.2721 3.2721 7.8531 Å, 90.00 90.00 90.00°
With the nearest neighbours (Å) after each atom.
Space group P4mm (No. 99)
Inequivalent atoms, fractional coordinates:
Sc  0.0000  0.0000  0.0000 x1  4 Rh 2.66
Tl  0.0000  0.0000  0.5920 x1  4 Rh 2.98, 1 Sc 3.20, 4 Tl 3.27
Tl  0.5000  0.5000  0.2750 x1  4 Sc 3.16, 8 Tl 3.27-3.40, 1 Rh 3.48
Rh  0.5000  0.5000  0.8320 x1  4 Sc 2.66

Values from the calculation:
Calculated total energy in eV/cell: -21.1
Calculated formation energy in meV per atom: -264
Magnetic moment in μB/f.u.: 0.000
Density in Mg/m³: 10.993

=====

Below is a relaxed ScRhW2 crystal, with properties calculated at the PBEsol level.

Cell: 5.2671 9.1597 2.7599 Å, 90.00 108.58 90.00°
With the nearest neighbours (Å) after each atom.
Space group C2/m (No. 12)
Inequivalent atoms, fractional coordinates:
Sc  0.0000  0.0000  0.0000 x2  2 Rh 2.63, 2 Sc 2.76, 4 W 2.78
Rh  0.0000  0.5000  0.0000 x2  2 Sc 2.63, 2 Rh 2.76, 4 W 2.78
W  0.2500  0.2500  0.5000 x4  4 W 2.63-2.76, 2 Sc 2.78, 2 Rh 2.78

Values from the calculation:
Excess energy over the best structure of this formula in the dataset in meV per atom: 0
Calculated total energy in eV/cell: -84.7
Calculated formation energy in meV per atom: 0
Magnetic moment in μB/f.u.: 0.000
Density in Mg/m³: 13.565

=====

Below is a relaxed ScRh3W crystal, with properties calculated at the PBEsol level.

Cell: 4.6308 4.6308 4.6308 Å, 90.00 90.00 90.00°
With the nearest neighbours (Å) after each atom.
Space group Pm-3m (No. 221)
Inequivalent atoms, fractional coordinates:
Sc  0.0000  0.0000  0.0000 x1  12 Rh 3.27
Rh  0.0000  0.5000  0.5000 x3  2 W 2.32
W  0.5000  0.5000  0.5000 x1  6 Rh 2.32

Values from the calculation:
Calculated total energy in eV/cell: -41.4
Calculated formation energy in meV per atom: 691
Magnetic moment in μB/f.u.: 0.001
Density in Mg/m³: 8.988

=====

Below is a relaxed ScRhW2 crystal, with properties calculated at the PBEsol level.

Cell: 6.2891 6.2891 6.2891 Å, 90.00 90.00 90.00°
With the nearest neighbours (Å) after each atom.
Space group Fm-3m (No. 225)
Inequivalent atoms, fractional coordinates:
Sc  0.0000  0.0000  0.0000 x4  8 W 2.72
Rh  0.0000  0.0000  0.5000 x4  8 W 2.72
W  0.2500  0.2500  0.2500 x8  4 Rh 2.72, 4 Sc 2.72

Values from the calculation:
Excess energy over the best structure of this formula in the dataset in meV per atom: 363
Calculated total energy in eV/cell: -163.6
Calculated formation energy in meV per atom: 363
Magnetic moment in μB/f.u.: 0.000
Density in Mg/m³: 13.766

=====

Below is a relaxed ScRhW crystal, with properties calculated at the PBEsol level.

Cell: 6.0422 6.0422 6.0422 Å, 90.00 90.00 90.00°
With the nearest neighbours (Å) after each atom.
Space group F-43m (No. 216)
Inequivalent atoms, fractional coordinates:
Sc  0.0000  0.0000  0.0000 x4  4 W 2.62
Rh  0.0000  0.0000  0.5000 x4  4 W 2.62
W  0.2500  0.2500  0.2500 x4  4 Sc 2.62, 4 Rh 2.62

Values from the calculation:
Excess energy over the best structure of this formula in the dataset in meV per atom: 518
Calculated total energy in eV/cell: -107.9
Calculated formation energy in meV per atom: 522
Magnetic moment in μB/f.u.: 0.000
Density in Mg/m³: 9.988

=====

Below is a relaxed ScRhW2 crystal, with properties calculated at the PBEsol level.

Cell: 2.8515 2.8515 27.4472 Å, 90.00 90.00 120.00°
With the nearest neighbours (Å) after each atom.
Space group R3m (No. 160, hexagonal axes)
Inequivalent atoms, fractional coordinates:
Sc  0.0000  0.0000  0.0000 x3  3 Rh 2.80, 6 Sc 2.85, 3 W 2.94
Rh  0.0000  0.0000  0.2509 x3  3 W 2.66, 3 Sc 2.80, 6 Rh 2.85
W  0.0000  0.0000  0.5081 x3  3 Rh 2.66, 9 W 2.85-2.88
W  0.0000  0.0000  0.7552 x3  9 W 2.85-2.88, 3 Sc 2.94

Values from the calculation:
Excess energy over the best structure of this formula in the dataset in meV per atom: 181
Calculated total energy in eV/cell: -124.9
Calculated formation energy in meV per atom: 180
Magnetic moment in μB/f.u.: 0.000
Density in Mg/m³: 13.288

=====

Below is a relaxed ScRhW crystal, with properties calculated at the PBEsol level.

Cell: 4.4587 4.4587 2.8060 Å, 90.00 90.00 120.00°
With the nearest neighbours (Å) after each atom.
Space group P3m1 (No. 156)
Inequivalent atoms, fractional coordinates:
Sc  0.0000  0.0000  0.0000 x1  3 Rh 2.78, 2 Sc 2.81, 6 W 2.81-3.08
Rh  0.3333  0.6667  0.3740 x1  3 W 2.65, 3 Sc 2.78, 2 Rh 2.81
W  0.6667  0.3333  0.6004 x1  3 Rh 2.65, 2 W 2.81, 3 Sc 2.81

Values from the calculation:
Excess energy over the best structure of this formula in the dataset in meV per atom: 0
Calculated total energy in eV/cell: -28.5
Calculated formation energy in meV per atom: 5
Magnetic moment in μB/f.u.: 0.000
Density in Mg/m³: 11.402

=====

Below is a relaxed YScRh2 crystal, with properties calculated at the PBEsol level.

Cell: 4.4967 3.2410 10.0785 Å, 90.00 90.00 90.00°
With the nearest neighbours (Å) after each atom.
Space group Amm2 (No. 38)
Inequivalent atoms, fractional coordinates:
Y  0.0000  0.0000  0.0000 x2  7 Rh 2.67-2.87
Sc  0.5000  0.0000  0.7199 x2  7 Rh 2.77-2.81
Rh  0.0000  0.0000  0.2651 x2  3 Y 2.67-2.87, 4 Sc 2.81, 2 Rh 2.89
Rh  0.5000  0.0000  0.4445 x2  3 Sc 2.77-2.78, 4 Y 2.83, 2 Rh 2.89

Values from the calculation:
Calculated total energy in eV/cell: -65.3
Calculated formation energy in meV per atom: -731
Magnetic moment in μB/f.u.: 0.000
Density in Mg/m³: 7.680

=====

Q: The highest magnetic moment belongs to which entry?
A: ScRh3W